Entry 1:
## Tm8In3C (PBE)

Data for an optimized crystal structure of Tm8In3C.

Computed properties:
- DFT formation energy: 8 kJ per mole of atoms
- Energy: -52.19 eV per formula unit

Unit cell a=8.516 b=8.516 c=8.516 alpha=132.05 beta=132.05 gamma=70.15
Positions (direct):
Tm  0.118  0.118  0.467
Tm  0.118  0.650  0.000
Tm  0.350  0.350  0.467
Tm  0.350  0.882  0.000
Tm  0.650  0.118  0.000
Tm  0.650  0.650  0.533
Tm  0.882  0.350  0.000
Tm  0.882  0.882  0.533
In  0.250  0.750  0.500
In  0.500  0.500  0.000
In  0.750  0.250  0.500
C  0.000  0.000  0.000

***

Entry 2:
## Tm4InC (PBE)

Data for an optimized crystal structure of Tm4InC.

Computed properties:
- DFT formation energy: -25 kJ per mole of atoms
- Energy: -31.41 eV per formula unit

Unit cell a=8.093 b=8.093 c=6.714 alpha=104.93 beta=104.93 gamma=43.51
Positions (direct):
Tm  0.012  0.191  0.446
Tm  0.191  0.012  0.946
Tm  0.237  0.378  0.839
Tm  0.378  0.237  0.339
Tm  0.622  0.763  0.661
Tm  0.763  0.622  0.161
Tm  0.809  0.988  0.054
Tm  0.988  0.809  0.554
In  0.406  0.594  0.250
In  0.594  0.406  0.750
C  0.000  0.500  0.500
C  0.500  0.000  0.000

***

Entry 3:
## Tm4InC2 (PBE)

Data for an optimized crystal structure of Tm4InC2.

Computed properties:
- DFT formation energy: -39 kJ per mole of atoms
- Energy: -41.87 eV per formula unit

Unit cell a=14.242 b=14.242 c=14.242 alpha=14.30 beta=14.30 gamma=14.30
Positions (direct):
Tm  0.125  0.125  0.125
Tm  0.271  0.271  0.271
Tm  0.729  0.729  0.729
Tm  0.875  0.875  0.875
In  0.000  0.000  0.000
C  0.428  0.428  0.428
C  0.572  0.572  0.572

***

Entry 4:
## Tm4In2C (PBE)

Data for an optimized crystal structure of Tm4In2C.

Computed properties:
- DFT formation energy: -37 kJ per mole of atoms
- Energy: -35.28 eV per formula unit

Unit cell a=8.290 b=8.290 c=8.290 alpha=146.03 beta=146.03 gamma=48.80
Positions (direct):
Tm  0.000  0.500  0.500
Tm  0.160  0.160  0.000
Tm  0.500  0.000  0.500
Tm  0.840  0.840  0.000
In  0.367  0.367  0.000
In  0.633  0.633  0.000
C  0.000  0.000  0.000

***

Entry 5:
## Tm2In2C (PBE)

Data for an optimized crystal structure of Tm2In2C.

Computed properties:
- DFT formation energy: -33 kJ per mole of atoms
- Energy: -25.35 eV per formula unit

Unit cell a=10.645 b=10.645 c=10.645 alpha=19.09 beta=19.09 gamma=19.09
Positions (direct):
Tm  0.125  0.125  0.125
Tm  0.875  0.875  0.875
In  0.372  0.372  0.372
In  0.628  0.628  0.628
C  0.500  0.500  0.500

***

Entry 6:
## UInC (PBE)

Data for an optimized crystal structure of UInC.

Computed properties:
- DFT formation energy: 13 kJ per mole of atoms
- Energy: -22.84 eV per formula unit

Unit cell a=10.490 b=10.490 c=10.490 alpha=20.99 beta=20.99 gamma=20.99
Positions (direct):
U  0.121  0.121  0.121
U  0.879  0.879  0.879
In  0.369  0.369  0.369
In  0.631  0.631  0.631
C  0.196  0.196  0.196
C  0.804  0.804  0.804

***

Entry 7:
## UInC (PBE)

Data for an optimized crystal structure of UInC.

Computed properties:
- DFT formation energy: 0 kJ per mole of atoms
- Energy: -23.25 eV per formula unit

Unit cell a=3.274 b=3.274 c=10.966 alpha=90.00 beta=90.00 gamma=90.00
Positions (direct):
U  0.250  0.250  0.128
U  0.750  0.750  0.872
In  0.250  0.250  0.615
In  0.750  0.750  0.385
C  0.250  0.250  0.916
C  0.750  0.750  0.084

***

Entry 8:
## VInC3 (PBE)

Data for an optimized crystal structure of VInC3.

Computed properties:
- DFT formation energy: 159 kJ per mole of atoms
- Energy: -31.28 eV per formula unit

Unit cell a=4.003 b=4.003 c=4.003 alpha=90.00 beta=90.00 gamma=90.00
Positions (direct):
V  0.000  0.000  0.000
In  0.500  0.500  0.500
C  0.000  0.000  0.500
C  0.000  0.500  0.000
C  0.500  0.000  0.000

***

Entry 9:
## VInC2 (PBE)

Data for an optimized crystal structure of VInC2.

Computed properties:
- DFT formation energy: 60 kJ per mole of atoms
- Energy: -27.83 eV per formula unit

Unit cell a=5.845 b=5.845 c=5.845 alpha=130.53 beta=130.53 gamma=72.56
Positions (direct):
V  0.000  0.000  0.000
V  0.750  0.250  0.500
In  0.250  0.750  0.500
In  0.500  0.500  0.000
C  0.067  0.625  0.942
C  0.375  0.317  0.442
C  0.683  0.125  0.058
C  0.875  0.933  0.558

***

Entry 10:
## VIn2C (PBE)

Data for an optimized crystal structure of VIn2C.

Computed properties:
- DFT formation energy: 71 kJ per mole of atoms
- Energy: -20.88 eV per formula unit

Unit cell a=6.511 b=6.511 c=6.511 alpha=95.53 beta=95.53 gamma=143.83
Positions (direct):
V  0.000  0.000  0.000
V  0.750  0.250  0.500
In  0.257  0.625  0.132
In  0.375  0.507  0.632
In  0.493  0.125  0.868
In  0.875  0.743  0.368
C  0.250  0.750  0.500
C  0.500  0.500  0.000

***

Entry 11:
## VInC3 (PBE)

Data for an optimized crystal structure of VInC3.

Computed properties:
- DFT formation energy: 302 kJ per mole of atoms
- Energy: -23.87 eV per formula unit

Unit cell a=4.241 b=4.241 c=4.241 alpha=90.00 beta=90.00 gamma=90.00
Positions (direct):
V  0.000  0.000  0.000
In  0.500  0.500  0.500
C  0.000  0.500  0.500
C  0.500  0.000  0.500
C  0.500  0.500  0.000

***

Entry 12:
## V8InC2 (PBE)

Data for an optimized crystal structure of V8InC2.

Computed properties:
- DFT formation energy: 6 kJ per mole of atoms
- Energy: -93.45 eV per formula unit

Unit cell a=7.258 b=7.258 c=7.258 alpha=144.75 beta=140.55 gamma=53.93
Positions (direct):
V  0.114  0.114  0.000
V  0.154  0.401  0.753
V  0.271  0.771  0.500
V  0.352  0.599  0.753
V  0.648  0.401  0.247
V  0.729  0.229  0.500
V  0.846  0.599  0.247
V  0.886  0.886  0.000
In  0.500  0.000  0.500
C  0.268  0.268  0.000
C  0.732  0.732  0.000